The following is a PBE-GGA calculation of ZrRe2BCl after structural relaxation, from Alexandria. Values from VASP.

Space group   No. 123
Size of the total moment   0.00 μB/f.u.
Formation energy (no corrections)   0.558 eV per atom

```
&SYSTEM
  ibrav = 0, nat = 5, ntyp = 4
/
ATOMIC_SPECIES
Zr 91.22 Zr.upf
Re 186.21 Re.upf
B 10.81 B.upf
Cl 35.45 Cl.upf
CELL_PARAMETERS angstrom
4.067 0.000 0.000
0.000 4.067 0.000
0.000 0.000 5.071
ATOMIC_POSITIONS crystal
Zr 0.000 0.000 0.000
Re 0.000 0.500 0.500
Re 0.500 0.000 0.500
B 0.000 0.000 0.500
Cl 0.500 0.500 0.000
```